Record 1
First-principles (GGA-PBEsol) data for an optimized crystal structure of ScAl5, as listed in Alexandria via LeMat-Bulk.

Output
DFT formation energy: -0.254 eV per atom
energy above the lowest structure with this stoichiometry: 0.0000 eV/atom

Lattice parameters (Å, degrees): 4.067 4.045 6.446 90.00 108.39 90.00
Sites, in units of the cell vectors:
Al1 0.169 0.000 0.338
Al2 0.330 0.500 0.661
Al3 0.000 0.500 0.000
Al4 0.670 0.500 0.339
Al5 0.831 0.000 0.662
Sc1 0.500 0.000 0.000

Record 2
First-principles (GGA-PBEsol) data for an optimized crystal structure of KFeTc, as listed in Alexandria via LeMat-Bulk.

Output
DFT formation energy: 0.919 eV per atom

Lattice parameters (Å, degrees): 2.891 2.891 7.087 101.77 101.77 90.00
Sites, in units of the cell vectors:
K1 0.662 0.662 0.325
Fe1 0.962 0.962 0.924
Tc1 0.376 0.376 0.751

Record 3
First-principles (GGA-PBEsol) data for an optimized crystal structure of YSb3Mo, as listed in Alexandria via LeMat-Bulk.

Output
VASP energy: -5.19 eV per atom

Lattice parameters (Å, degrees): 5.595 5.595 5.595 90.00 90.00 90.00
Sites, in units of the cell vectors:
Sb1 0.000 0.500 0.000
Sb2 0.000 0.000 0.500
Sb3 0.500 0.000 0.000
Y1 0.000 0.000 0.000
Mo1 0.500 0.500 0.500

Record 4
First-principles (GGA-PBEsol) data for an optimized crystal structure of Li2Al2Sb, as listed in Alexandria via LeMat-Bulk.

Output
VASP energy: -3.39 eV per atom

Lattice parameters (Å, degrees): 3.003 7.829 7.829 90.00 90.00 90.00
Sites, in units of the cell vectors:
Al1 0.000 0.620 0.120
Al2 0.000 0.120 0.380
Al3 0.000 0.380 0.880
Al4 0.000 0.880 0.620
Li1 0.500 0.678 0.822
Li2 0.500 0.322 0.178
Li3 0.500 0.822 0.322
Li4 0.500 0.178 0.678
Sb1 0.000 0.000 0.000
Sb2 0.000 0.500 0.500

Record 5
First-principles (GGA-PBEsol) data for an optimized crystal structure of TiTeAu3, as listed in Alexandria via LeMat-Bulk.

Output
VASP energy: -3.97 eV per atom

Lattice parameters (Å, degrees): 4.901 4.901 4.901 90.00 90.00 90.00
Sites, in units of the cell vectors:
Au1 0.000 0.500 0.000
Au2 0.500 0.000 0.000
Au3 0.000 0.000 0.500
Ti1 0.000 0.000 0.000
Te1 0.500 0.500 0.500

Record 6
First-principles (GGA-PBEsol) data for an optimized crystal structure of TlCdS2, as listed in Alexandria via LeMat-Bulk.

Output
energy above the lowest structure with this stoichiometry: 0.0337 eV/atom

Lattice parameters (Å, degrees): 3.787 3.787 6.932 90.00 90.00 120.00
Sites, in units of the cell vectors:
Tl1 0.000 0.000 0.500
Cd1 0.667 0.333 0.000
S1 0.333 0.667 0.232
S2 0.333 0.667 0.768

Record 7
First-principles (GGA-PBEsol) data for an optimized crystal structure of P3HIr, as listed in Alexandria via LeMat-Bulk.

Output
VASP energy: -5.44 eV per atom

Lattice parameters (Å, degrees): 3.859 3.859 3.859 90.00 90.00 90.00
Sites, in units of the cell vectors:
P1 0.000 0.500 0.000
P2 0.000 0.000 0.500
P3 0.500 0.000 0.000
Ir1 0.500 0.500 0.500
H1 0.000 0.000 0.000

Record 8
First-principles (GGA-PBEsol) data for an optimized crystal structure of Zr2TeOs, as listed in Alexandria via LeMat-Bulk.

Output
VASP energy: -8.73 eV per atom

Lattice parameters (Å, degrees): 4.352 4.352 5.065 115.44 115.44 90.00
Sites, in units of the cell vectors:
Zr1 0.750 0.250 0.500
Zr2 0.250 0.750 0.500
Os1 0.500 0.500 0.000
Te1 0.000 0.000 0.000

Calculated volume for the records above, in order: 101; 57; 175; 184; 118; 86; 57; 76 Å³ per cell